# Li2MgZnCd, relaxed, DFT PBE-GGA
data_Li2MgZnCd
_cell_length_a 5.4125
_cell_length_b 5.4125
_cell_length_c 8.5509
_cell_angle_alpha 90.00
_cell_angle_beta 90.00
_cell_angle_gamma 130.17
_space_group_name_H-M_alt 'P 1'
_space_group_IT_number 1
_space_group_name_Hall 'P 1'
loop_
_atom_site_label
_atom_site_type_symbol
_atom_site_fract_x
_atom_site_fract_y
_atom_site_fract_z
Li1 Li 0.1856 0.8144 0.5570
Li2 Li 0.1856 0.8144 0.9430
Li3 Li 0.8144 0.1856 0.0570
Li4 Li 0.8144 0.1856 0.4430
Mg1 Mg 0.5000 0.5000 0.0000
Mg2 Mg 0.5000 0.5000 0.5000
Zn1 Zn 0.0295 0.9705 0.2500
Zn2 Zn 0.9705 0.0295 0.7500
Cd1 Cd 0.3053 0.6947 0.2500
Cd2 Cd 0.6947 0.3053 0.7500
# SG	No. 63
# uncorrected energy	-1.605	eV per atom

***

# TmZrGa2, relaxed, DFT PBE-GGA
data_TmZrGa2
_cell_length_a 4.8697
_cell_length_b 4.8697
_cell_length_c 4.8697
_cell_angle_alpha 60.00
_cell_angle_beta 60.00
_cell_angle_gamma 60.00
_space_group_name_H-M_alt 'P 1'
_space_group_IT_number 1
_space_group_name_Hall 'P 1'
loop_
_atom_site_label
_atom_site_type_symbol
_atom_site_fract_x
_atom_site_fract_y
_atom_site_fract_z
Tm1 Tm 0.0000 0.0000 0.0000
Zr1 Zr 0.5000 0.5000 0.5000
Ga1 Ga 0.2500 0.2500 0.2500
Ga2 Ga 0.7500 0.7500 0.7500
# polymorph energy (0 for the lowest one)	143	meV/atom
# SG	No. 225
# uncorrected energy	-5.214	eV per atom